# LiZn2Te (SCAN, single point on PBEsol structure)
# DFT total energy: -16.582 eV per atom
# M_tot: 0.00 μB per formula unit
# E_form (uncorrected): 0.09 eV/atom
data_LiZn2Te
_chemical_formula_sum 'Li2 Zn4 Te2'
_symmetry_space_group_name_H-M 'C m m m'
_symmetry_Int_Tables_number 65
_symmetry_space_group_name_Hall '-C 2 2'
_cell_length_a 3.869
_cell_length_b 4.867
_cell_length_c 8.400
_cell_angle_alpha 90.00
_cell_angle_beta 90.00
_cell_angle_gamma 90.00
loop_
_atom_site_label
_atom_site_fract_x
_atom_site_fract_y
_atom_site_fract_z
Li1 0.000 0.000 0.000
Zn1 0.000 0.500 0.223
Te1 0.000 0.000 0.500